Run P
The following is a meta-GGA SCAN calculation of a crystal of Ca2InSb relaxed with PBEsol, from Alexandria via LeMat-Bulk.

Summary:
D(E_F) in states/eV per cell: 1.62
Total magnetic moment in μB per atom: 0.000

```
data_Ca2InSb
_chemical_formula_sum 'Ca2 In1 Sb1'
_cell_length_a 5.0431
_cell_length_b 5.0431
_cell_length_c 4.2907
_cell_angle_alpha 90.00
_cell_angle_beta 90.00
_cell_angle_gamma 90.00
_symmetry_space_group_name_H-M 'P 4/m m m'
_symmetry_Int_Tables_number 123
_symmetry_space_group_name_Hall '-P 4 2'
loop_
_atom_site_label
_atom_site_fract_x
_atom_site_fract_y
_atom_site_fract_z
Ca1 0.0000 0.5000 0.0000
In1 0.0000 0.0000 0.5000
Sb1 0.5000 0.5000 0.5000
```

---

Run Q
The following is a meta-GGA SCAN calculation of a crystal of Ca2InSb relaxed with PBEsol, from Alexandria via LeMat-Bulk.

Summary:
D(E_F) in states/eV per cell: 1.99
Total magnetic moment in μB per atom: 0.000

```
data_Ca2InSb
_chemical_formula_sum 'Ca2 In1 Sb1'
_cell_length_a 3.9999
_cell_length_b 3.9999
_cell_length_c 6.9016
_cell_angle_alpha 90.00
_cell_angle_beta 90.00
_cell_angle_gamma 90.00
_symmetry_space_group_name_H-M 'P 4/m m m'
_symmetry_Int_Tables_number 123
_symmetry_space_group_name_Hall '-P 4 2'
loop_
_atom_site_label
_atom_site_fract_x
_atom_site_fract_y
_atom_site_fract_z
Ca1 0.0000 0.0000 0.2360
In1 0.5000 0.5000 0.5000
Sb1 0.5000 0.5000 0.0000
```

---

List of relative energies, unit meV per atom: run P 0; run Q 6

---

Run P
The following is a meta-GGA SCAN calculation of a crystal of Ca2InSe relaxed with PBEsol, from Alexandria via LeMat-Bulk.

Summary:
D(E_F) in states/eV per cell: 1.46
Total magnetic moment in μB per atom: 0.000

```
data_Ca2InSe
_chemical_formula_sum 'Ca2 In1 Se1'
_cell_length_a 3.5323
_cell_length_b 3.5323
_cell_length_c 8.1814
_cell_angle_alpha 90.00
_cell_angle_beta 90.00
_cell_angle_gamma 90.00
_symmetry_space_group_name_H-M 'P 4/m m m'
_symmetry_Int_Tables_number 123
_symmetry_space_group_name_Hall '-P 4 2'
loop_
_atom_site_label
_atom_site_fract_x
_atom_site_fract_y
_atom_site_fract_z
Ca1 0.0000 0.0000 0.2141
In1 0.5000 0.5000 0.5000
Se1 0.5000 0.5000 0.0000
```

---

Run Q
The following is a meta-GGA SCAN calculation of a crystal of Ca2InSe relaxed with PBEsol, from Alexandria via LeMat-Bulk.

Summary:
D(E_F) in states/eV per cell: 5.21
Total magnetic moment in μB per atom: 0.084

```
data_Ca2InSe
_chemical_formula_sum 'Ca6 In3 Se3'
_cell_length_a 3.9347
_cell_length_b 3.9347
_cell_length_c 25.3943
_cell_angle_alpha 90.00
_cell_angle_beta 90.00
_cell_angle_gamma 120.00
_symmetry_space_group_name_H-M 'R -3 m'
_symmetry_Int_Tables_number 166
_symmetry_space_group_name_Hall '-R 3 2"'
loop_
_atom_site_label
_atom_site_fract_x
_atom_site_fract_y
_atom_site_fract_z
Ca1 0.0000 0.0000 0.2360
In1 0.0000 0.0000 0.0000
Se1 0.0000 0.0000 0.5000
```

---

List of relative energies, unit meV per atom: run P 56; run Q 0

---

Run P
The following is a meta-GGA SCAN calculation of a crystal of CaInSn3 relaxed with PBEsol, from Alexandria via LeMat-Bulk.

Summary:
D(E_F) in states/eV per cell: 2.88
Total magnetic moment in μB per atom: 0.000

```
data_CaInSn3
_chemical_formula_sum 'Ca1 In1 Sn3'
_cell_length_a 5.5242
_cell_length_b 5.5242
_cell_length_c 5.5242
_cell_angle_alpha 90.00
_cell_angle_beta 90.00
_cell_angle_gamma 90.00
_symmetry_space_group_name_H-M 'P m -3 m'
_symmetry_Int_Tables_number 221
_symmetry_space_group_name_Hall '-P 4 2 3'
loop_
_atom_site_label
_atom_site_fract_x
_atom_site_fract_y
_atom_site_fract_z
Ca1 0.0000 0.0000 0.0000
In1 0.5000 0.5000 0.5000
Sn1 0.0000 0.5000 0.5000
```

---

Run Q
The following is a meta-GGA SCAN calculation of a crystal of CaInSn3 relaxed with PBEsol, from Alexandria via LeMat-Bulk.

Summary:
D(E_F) in states/eV per cell: 3.82
Total magnetic moment in μB per atom: 0.000

```
data_CaInSn3
_chemical_formula_sum 'Ca1 In1 Sn3'
_cell_length_a 5.6424
_cell_length_b 5.6424
_cell_length_c 5.6424
_cell_angle_alpha 90.00
_cell_angle_beta 90.00
_cell_angle_gamma 90.00
_symmetry_space_group_name_H-M 'P m -3 m'
_symmetry_Int_Tables_number 221
_symmetry_space_group_name_Hall '-P 4 2 3'
loop_
_atom_site_label
_atom_site_fract_x
_atom_site_fract_y
_atom_site_fract_z
Ca1 0.0000 0.0000 0.0000
In1 0.5000 0.5000 0.5000
Sn1 0.0000 0.0000 0.5000
```

---

List of relative energies, unit meV per atom: run P 0; run Q 353

---

Run P
The following is a meta-GGA SCAN calculation of a crystal of Ca2Tl2In relaxed with PBEsol, from Alexandria via LeMat-Bulk.

Summary:
D(E_F) in states/eV per cell: 4.56
Total magnetic moment in μB per atom: 0.000

```
data_Ca2Tl2In
_chemical_formula_sum 'Ca4 Tl4 In2'
_cell_length_a 4.8616
_cell_length_b 4.8616
_cell_length_c 13.2219
_cell_angle_alpha 90.00
_cell_angle_beta 90.00
_cell_angle_gamma 90.00
_symmetry_space_group_name_H-M 'I 4/m m m'
_symmetry_Int_Tables_number 139
_symmetry_space_group_name_Hall '-I 4 2'
loop_
_atom_site_label
_atom_site_fract_x
_atom_site_fract_y
_atom_site_fract_z
Ca1 0.0000 0.5000 0.2500
Tl1 0.0000 0.0000 0.1022
In1 0.0000 0.0000 0.5000
```

---

Run Q
The following is a meta-GGA SCAN calculation of a crystal of Ca2Tl2In relaxed with PBEsol, from Alexandria via LeMat-Bulk.

Summary:
D(E_F) in states/eV per cell: 5.98
Total magnetic moment in μB per atom: 0.000

```
data_Ca2Tl2In
_chemical_formula_sum 'Ca4 Tl4 In2'
_cell_length_a 8.2724
_cell_length_b 8.2724
_cell_length_c 4.0780
_cell_angle_alpha 90.00
_cell_angle_beta 90.00
_cell_angle_gamma 90.00
_symmetry_space_group_name_H-M 'P 4/m b m'
_symmetry_Int_Tables_number 127
_symmetry_space_group_name_Hall '-P 4 2ab'
loop_
_atom_site_label
_atom_site_fract_x
_atom_site_fract_y
_atom_site_fract_z
Ca1 0.1701 0.3299 0.0000
Tl1 0.1313 0.6313 0.5000
In1 0.0000 0.0000 0.5000
```

---

List of relative energies, unit meV per atom: run P 386; run Q 0